[1]
An optimized crystal structure of AgAs4Ru, computed with PBE-GGA.

## Properties
ΔE_f: 0.750 eV per atom
Size of the total moment: 6.81 Bohr magnetons per cell
N(E_F): 17.84 states/eV/cell

Cell: 7.6987 7.6987 7.6987 Å, 90.00 90.00 90.00°
With the nearest neighbours (Å) after each atom.
Space group F-43m (No. 216)
Asymmetric unit:
Ag 0.0000 0.0000 0.0000 [4 per cell]  12 As 3.19, 4 Ru 3.33
As 0.1250 0.1250 0.6250 [16 per cell]  6 As 2.72
Ru 0.2500 0.2500 0.2500 [4 per cell]  12 As 3.19, 4 Ag 3.33

***

[2]
An optimized crystal structure of AgAs2Ru, computed with PBE-GGA.

## Properties
ΔE_f: 0.025 eV per atom
Size of the total moment: 0.00 Bohr magnetons per cell
N(E_F): 2.86 states/eV/cell

Cell: 8.4031 3.0152 6.2495 Å, 90.00 107.59 90.00°
With the nearest neighbours (Å) after each atom.
Space group Cm (No. 8)
Asymmetric unit:
Ag 0.0000 0.0000 0.0000 [2 per cell]  3 As 2.70-2.89, 2 Ag 3.02, 2 Ru 3.02
As 0.2102 0.0000 0.7475 [2 per cell]  2 Ru 2.45, 1 Ag 2.70
As 0.3707 0.0000 0.3352 [2 per cell]  3 Ru 2.43-2.44
Ru 0.1729 0.5000 0.4261 [2 per cell]  5 As 2.43-2.45